The following is a GGA-PBE calculation of Cd2SnPd5 after structural relaxation, from the Alexandria database.

Summary:
**Energy of formation**: -426 meV per atom
**SG**: I4/mmm (139)
**Uncorrected energy**: -35.2 eV per cell

abc: 4.2100 4.2100 8.2183
angles: 104.84 104.84 90.00
With the nearest neighbours (Å) after each atom.
Element x y z (fractional)
Cd 0.7472 0.7472 0.4944  8 Pd 2.84-2.90, 4 Cd 2.98
Cd 0.2528 0.2528 0.5056  8 Pd 2.84-2.90, 4 Cd 2.98
Sn 0.0000 0.0000 0.0000  12 Pd 2.82-2.98
Pd 0.5000 0.5000 0.0000  8 Pd 2.82, 4 Sn 2.98
Pd 0.8775 0.3775 0.7549  2 Sn 2.82, 6 Pd 2.82-2.98, 4 Cd 2.84-2.90
Pd 0.3775 0.8775 0.7549  6 Pd 2.82-2.98, 2 Sn 2.82, 4 Cd 2.84-2.90
Pd 0.1225 0.6225 0.2451  2 Sn 2.82, 6 Pd 2.82-2.98, 4 Cd 2.84-2.90
Pd 0.6225 0.1225 0.2451  6 Pd 2.82-2.98, 2 Sn 2.82, 4 Cd 2.84-2.90